(1)
BAsPtO | PBE | relaxed

Output
As for the energy relative to the lowest polymorph listed for this composition: 1409 meV per atom. As for the raw total energy: -4.94 eV/atom. As for the symmetry: P4/nmm (129).

Cell lengths 4.000, 4.000, 7.426 Å; angles 90.00, 90.00, 90.00 degrees
Sites, in units of the cell vectors:
B  0.250  0.750  0.000
B  0.750  0.250  0.000
As  0.250  0.250  0.128
As  0.750  0.750  0.872
Pt  0.250  0.250  0.574
Pt  0.750  0.750  0.426
O  0.250  0.750  0.500
O  0.750  0.250  0.500


(2)
BeAlFeCu | PBE | relaxed

Output
As for the energy relative to the lowest polymorph listed for this composition: 142 meV per atom. As for the raw total energy: -4.85 eV/atom. As for the symmetry: F-43m (216).

Cell lengths 3.967, 3.967, 3.967 Å; angles 60.00, 60.00, 60.00 degrees
Sites, in units of the cell vectors:
Be  0.000  0.000  0.000
Al  0.250  0.250  0.250
Fe  0.750  0.750  0.750
Cu  0.500  0.500  0.500


(3)
Pr3SnPdPt2Pb2 | PBE | relaxed

Output
As for the raw total energy: -5.66 eV/atom. As for the symmetry: Amm2 (38).

Cell lengths 4.165, 7.835, 7.835 Å; angles 120.36, 90.00, 90.00 degrees
Sites, in units of the cell vectors:
Pr  0.000  0.000  0.000
Pr  0.000  0.174  0.584
Pr  0.000  0.584  0.174
Sn  0.500  0.334  0.334
Pd  0.000  0.573  0.573
Pt  0.500  0.257  0.931
Pt  0.500  0.931  0.257
Pb  0.500  0.586  0.839
Pb  0.500  0.839  0.586


(4)
DyPt | PBE | relaxed

Output
The formation energy is -1288 meV/atom. As for the raw total energy: -6.62 eV/atom. As for the symmetry: Pnma (62).

Cell lengths 7.003, 4.510, 5.560 Å; angles 90.00, 90.00, 90.00 degrees
Sites, in units of the cell vectors:
Dy  0.182  0.250  0.141
Dy  0.318  0.750  0.641
Dy  0.682  0.250  0.359
Dy  0.818  0.750  0.859
Pt  0.044  0.250  0.657
Pt  0.456  0.750  0.157
Pt  0.544  0.250  0.843
Pt  0.956  0.750  0.343


(5)
CuIr2W | PBE | relaxed

Output
The formation energy is 305 meV/atom. As for the raw total energy: -8.29 eV/atom. As for the symmetry: F-43m (216).

Cell lengths 4.349, 4.349, 4.349 Å; angles 60.00, 60.00, 60.00 degrees
Sites, in units of the cell vectors:
Cu  0.000  0.000  0.000
Ir  0.250  0.250  0.250
Ir  0.500  0.500  0.500
W  0.750  0.750  0.750


(6)
YTaCoSi | PBE | relaxed

Output
As for the energy relative to the lowest polymorph listed for this composition: 0 meV per atom. As for the raw total energy: -7.40 eV/atom. As for the symmetry: F-43m (216).

Cell lengths 4.535, 4.535, 4.535 Å; angles 60.00, 60.00, 60.00 degrees
Sites, in units of the cell vectors:
Y  0.000  0.000  0.000
Ta  0.250  0.250  0.250
Co  0.750  0.750  0.750
Si  0.500  0.500  0.500


(7)
TbTmGe2Os | PBE | relaxed

Output
As for the raw total energy: -6.62 eV/atom. As for the symmetry: C2/m (12).

Cell lengths 5.773, 5.773, 10.092 Å; angles 115.74, 115.74, 43.71 degrees
Sites, in units of the cell vectors:
Tb  0.186  0.186  0.114
Tb  0.814  0.814  0.886
Tm  0.002  0.002  0.673
Tm  0.998  0.998  0.327
Ge  0.359  0.359  0.438
Ge  0.488  0.488  0.127
Ge  0.512  0.512  0.873
Ge  0.641  0.641  0.562
Os  0.269  0.269  0.630
Os  0.731  0.731  0.370


(8)
DyYCo4 | PBE | relaxed

Output
The formation energy is -189 meV/atom. As for the raw total energy: -6.77 eV/atom. As for the symmetry: F-43m (216).

Cell lengths 5.060, 5.060, 5.060 Å; angles 60.00, 60.00, 60.00 degrees
Sites, in units of the cell vectors:
Dy  0.000  0.000  0.000
Y  0.250  0.250  0.250
Co  0.124  0.625  0.625
Co  0.625  0.124  0.625
Co  0.625  0.625  0.124
Co  0.625  0.625  0.625